NdSc2Tl: optimized geometry, PBE.

a = 4.734 Å, b = 4.734 Å, c = 4.647 Å
α = 90.00°, β = 90.00°, γ = 90.00°
Space group P4/mmm (No. 123)
Inequivalent atoms, fractional coordinates:
Nd (0.000, 0.000, 0.000) x1
Sc (0.000, 0.500, 0.500) x2
Tl (0.500, 0.500, 0.000) x1

Properties
Its density is 6.99 g/cm3. The total energy comes out at -20.450 eV/cell. For the formation energy, the calculation gives -0.16 eV/atom. The density of states at the Fermi level comes out at 1.325 states/eV per atom.

***

Nd2ScTl2: optimized geometry, PBE.

a = 4.665 Å, b = 6.758 Å, c = 9.538 Å
α = 90.00°, β = 90.00°, γ = 90.00°
Space group Immm (No. 71)
Inequivalent atoms, fractional coordinates:
Nd (0.000, 0.000, 0.199) x4
Sc (0.000, 0.500, 0.000) x2
Tl (0.000, 0.270, 0.500) x4

Properties
Its density is 8.20 g/cm3. The total energy comes out at -43.919 eV/cell. For the formation energy, the calculation gives -0.27 eV/atom. The density of states at the Fermi level comes out at 0.939 states/eV per atom.

***

Nd5ScTl8: optimized geometry, PBE.

a = 9.488 Å, b = 9.488 Å, c = 9.273 Å
α = 90.00°, β = 90.00°, γ = 90.00°
Space group I-4 (No. 82)
Inequivalent atoms, fractional coordinates:
Nd (0.000, 0.000, 0.000) x2
Nd (0.115, 0.240, 0.631) x8
Sc (0.000, 0.500, 0.250) x2
Tl (0.071, 0.337, 0.970) x8
Tl (0.087, 0.190, 0.289) x8

Properties
Its density is 9.55 g/cm3. The total energy comes out at -105.949 eV/cell. For the formation energy, the calculation gives -0.28 eV/atom. The density of states at the Fermi level comes out at 0.833 states/eV per atom.

***

Nd6ScTl5: optimized geometry, PBE.

a = 5.510 Å, b = 7.816 Å, c = 16.693 Å
α = 90.00°, β = 90.00°, γ = 90.00°
Space group Immm (No. 71)
Inequivalent atoms, fractional coordinates:
Nd (0.000, 0.243, 0.000) x4
Nd (0.000, 0.253, 0.330) x8
Sc (0.000, 0.000, 0.500) x2
Tl (0.000, 0.000, 0.167) x4
Tl (0.000, 0.500, 0.154) x4
Tl (0.000, 0.500, 0.500) x2

Properties
Its density is 8.93 g/cm3. The total energy comes out at -100.459 eV/cell. For the formation energy, the calculation gives -0.29 eV/atom. The density of states at the Fermi level comes out at 1.343 states/eV per atom.

***

Nd3ScTl: optimized geometry, PBE.

a = 4.878 Å, b = 25.338 Å, c = 4.866 Å
α = 90.00°, β = 90.00°, γ = 90.00°
Space group Cmcm (No. 63)
Inequivalent atoms, fractional coordinates:
Nd (0.000, 0.055, 0.250) x4
Nd (0.000, 0.251, 0.250) x4
Nd (0.000, 0.443, 0.250) x4
Sc (0.000, 0.348, 0.750) x4
Tl (0.000, 0.154, 0.750) x4

Properties
Its density is 7.53 g/cm3. The total energy comes out at -94.189 eV/cell. For the formation energy, the calculation gives -0.11 eV/atom. The density of states at the Fermi level comes out at 1.260 states/eV per atom.

***

Nd3Sc2Tl3: optimized geometry, PBE.

a = 4.434 Å, b = 4.961 Å, c = 20.580 Å
α = 90.00°, β = 90.00°, γ = 90.00°
Space group Immm (No. 71)
Inequivalent atoms, fractional coordinates:
Nd (0.000, 0.000, 0.000) x2
Nd (0.000, 0.500, 0.124) x4
Sc (0.000, 0.000, 0.242) x4
Tl (0.000, 0.000, 0.500) x2
Tl (0.000, 0.500, 0.357) x4

Properties
Its density is 8.33 g/cm3. The total energy comes out at -72.182 eV/cell. For the formation energy, the calculation gives -0.25 eV/atom. The density of states at the Fermi level comes out at 1.403 states/eV per atom.

***

Nd2ScTl2: optimized geometry, PBE.

a = 12.445 Å, b = 4.768 Å, c = 11.525 Å
α = 90.00°, β = 118.89°, γ = 90.00°
Space group C2/m (No. 12)
Inequivalent atoms, fractional coordinates:
Nd (0.013, 0.000, 0.177) x4
Nd (0.183, 0.000, 0.599) x4
Sc (0.210, 0.500, 0.864) x4
Tl (0.033, 0.500, 0.387) x4
Tl (0.141, 0.500, 0.079) x4

Properties
Its density is 8.23 g/cm3. The total energy comes out at -88.002 eV/cell. For the formation energy, the calculation gives -0.28 eV/atom. The density of states at the Fermi level comes out at 1.183 states/eV per atom.

***

Nd5Sc2Tl: optimized geometry, PBE.

a = 3.433 Å, b = 11.171 Å, c = 12.835 Å
α = 90.00°, β = 90.00°, γ = 90.00°
Space group Immm (No. 71)
Inequivalent atoms, fractional coordinates:
Nd (0.000, 0.000, 0.000) x2
Nd (0.000, 0.266, 0.368) x8
Sc (0.000, 0.000, 0.270) x4
Tl (0.000, 0.500, 0.000) x2

Properties
Its density is 6.85 g/cm3. The total energy comes out at -77.394 eV/cell. For the formation energy, the calculation gives 0.02 eV/atom. The density of states at the Fermi level comes out at 1.261 states/eV per atom.